No. 1
Material: LiCoPt3O6
Method: DFT, PBE+U
State: relaxed

Geometry as CIF:
```
data_LiCoPt3O6
_symmetry_space_group_name_H-M 'P 1'
_symmetry_Int_Tables_number 1
_cell_length_a 6.2437
_cell_length_b 3.1613
_cell_length_c 6.7492
_cell_angle_alpha 90.00
_cell_angle_beta 104.87
_cell_angle_gamma 90.00
loop_
_symmetry_equiv_pos_as_xyz
'x,y,z'
loop_
_atom_site_label
_atom_site_fract_x
_atom_site_fract_y
_atom_site_fract_z
Li1 0.0000 0.0000 0.0000
Co1 0.8529 0.0000 0.3137
Pt1 0.3067 0.0000 0.7469
Pt2 0.3230 0.5000 0.2617
Pt3 0.7827 0.5000 0.7154
O1 0.2715 0.0000 0.4397
O2 0.3251 0.0000 0.0619
O3 0.6363 0.0000 0.8192
O4 0.6593 0.5000 0.3592
O5 0.9641 0.0000 0.6450
O6 0.9835 0.5000 0.1702
```

space group	Pm
electronic total energy	-62.1	eV per formula unit


No. 2
Material: LiCoPt3O6
Method: DFT, PBE+U
State: relaxed

Geometry as CIF:
```
data_LiCoPt3O6
_symmetry_space_group_name_H-M 'P 1'
_symmetry_Int_Tables_number 1
_cell_length_a 6.2503
_cell_length_b 3.1692
_cell_length_c 6.5888
_cell_angle_alpha 90.00
_cell_angle_beta 105.59
_cell_angle_gamma 90.00
loop_
_symmetry_equiv_pos_as_xyz
'x,y,z'
loop_
_atom_site_label
_atom_site_fract_x
_atom_site_fract_y
_atom_site_fract_z
Li1 0.0000 0.0000 0.0000
Co1 0.2510 0.5000 0.2731
Pt1 0.1752 0.0000 0.6883
Pt2 0.6774 0.5000 0.7014
Pt3 0.6847 0.0000 0.2080
O1 0.0136 0.5000 0.7845
O2 0.0284 0.0000 0.3150
O3 0.3420 0.5000 0.6065
O4 0.3448 0.0000 0.1163
O5 0.6281 0.5000 0.3849
O6 0.7374 0.5000 0.0237
```

space group	Pm
electronic total energy	-62.0	eV per formula unit


No. 3
Material: Li2PuCoO5
Method: DFT, PBE+U
State: relaxed

Geometry as CIF:
```
data_Li2PuCoO5
_symmetry_space_group_name_H-M 'P 1'
_symmetry_Int_Tables_number 1
_cell_length_a 3.9278
_cell_length_b 3.9278
_cell_length_c 6.4704
_cell_angle_alpha 90.00
_cell_angle_beta 90.00
_cell_angle_gamma 90.00
loop_
_symmetry_equiv_pos_as_xyz
'x,y,z'
loop_
_atom_site_label
_atom_site_fract_x
_atom_site_fract_y
_atom_site_fract_z
Li1 0.0000 0.5000 0.0000
Li2 0.5000 0.0000 0.0000
Pu1 0.0000 0.0000 0.5000
Co1 0.5000 0.5000 0.5000
O1 0.0000 0.5000 0.3181
O2 0.0000 0.5000 0.6819
O3 0.5000 0.0000 0.3181
O4 0.5000 0.0000 0.6819
O5 0.5000 0.5000 0.0000
```

space group	P4/mmm
electronic total energy	-61.7	eV per formula unit


No. 4
Material: Li4Pu3CoO12
Method: DFT, PBE+U
State: relaxed

Geometry as CIF:
```
data_Li4Pu3CoO12
_symmetry_space_group_name_H-M 'P 1'
_symmetry_Int_Tables_number 1
_cell_length_a 6.9811
_cell_length_b 6.9811
_cell_length_c 6.9811
_cell_angle_alpha 106.94
_cell_angle_beta 106.94
_cell_angle_gamma 106.94
loop_
_symmetry_equiv_pos_as_xyz
'x,y,z'
loop_
_atom_site_label
_atom_site_fract_x
_atom_site_fract_y
_atom_site_fract_z
Li1 0.0000 0.0000 0.0000
Li2 0.0000 0.4384 0.5616
Li3 0.4384 0.5616 0.0000
Li4 0.5616 0.0000 0.4384
Pu1 0.0574 0.9426 0.5000
Pu2 0.5000 0.0574 0.9426
Pu3 0.9426 0.5000 0.0574
Co1 0.5000 0.5000 0.5000
O1 0.0000 0.6080 0.3920
O2 0.0000 0.8354 0.1646
O3 0.1522 0.2526 0.5423
O4 0.1646 0.0000 0.8354
O5 0.2526 0.5423 0.1522
O6 0.3919 0.0000 0.6080
O7 0.4577 0.7474 0.8478
O8 0.5423 0.1522 0.2526
O9 0.6080 0.3919 0.0000
O10 0.7474 0.8478 0.4577
O11 0.8354 0.1646 0.0000
O12 0.8478 0.4577 0.7474
```

space group	R32
electronic total energy	-155.6	eV per formula unit


Total moment values, unit μB per formula unit, following the record order: 4.0, 4.0, 6.9, 7.6.